(1)
# SrTa2CuGe

A relaxed structure of SrTa2CuGe (PBE, Alexandria).

## Properties
Crystal system ... tetragonal
Volume ... 26.576 Å³/atom
Energy ... -5.632 eV/atom
E_form ... 1.188 eV per atom

Cell: 4.849 4.849 5.650 Å, 90.00 90.00 90.00°
Space group P4/mmm (No. 123)
One atom of each set of equivalent atoms:
Sr 0.000 0.000 0.000 (multiplicity 1)
Ta 0.000 0.500 0.500 (multiplicity 2)
Cu 0.500 0.500 0.000 (multiplicity 1)
Ge 0.000 0.000 0.500 (multiplicity 1)

=====

(2)
# SrTb2Cu2Ge2

A relaxed structure of SrTb2Cu2Ge2 (PBE, Alexandria).

## Properties
Crystal system ... trigonal
Volume ... 22.945 Å³/atom
Energy ... -4.521 eV/atom
E_form ... -0.468 eV per atom

Cell: 4.4054 4.4054 28.6685 Å, 90.00 90.00 120.00°
Space group R-3m (No. 166, hexagonal axes)
One atom of each set of equivalent atoms:
Sr 0.0000 0.0000 0.0000 (multiplicity 3)
Tb 0.0000 0.0000 0.1290 (multiplicity 6)
Cu 0.0000 0.0000 0.4119 (multiplicity 6)
Ge 0.0000 0.0000 0.2533 (multiplicity 6)

=====

(3)
# SrTbCu2Ge2

A relaxed structure of SrTbCu2Ge2 (PBE, Alexandria).

## Properties
Crystal system ... trigonal
Volume ... 21.348 Å³/atom
Energy ... -4.520 eV/atom
E_form ... -0.563 eV per atom

Cell: 4.3388 4.3388 7.8566 Å, 90.00 90.00 120.00°
Space group P-3m1 (No. 164)
One atom of each set of equivalent atoms:
Sr 0.0000 0.0000 0.0000 (multiplicity 1)
Tb 0.0000 0.0000 0.5000 (multiplicity 1)
Cu 0.3333 0.6667 0.7089 (multiplicity 2)
Ge 0.3333 0.6667 0.2856 (multiplicity 2)

=====

(4)
# Sr2ZnCu3Ge4

A relaxed structure of Sr2ZnCu3Ge4 (PBE, Alexandria).

## Properties
Crystal system ... tetragonal
Volume ... 19.329 Å³/atom
Energy ... -3.900 eV/atom
E_form ... -0.361 eV per atom

Cell: 4.286 4.286 10.522 Å, 90.00 90.00 90.00°
Space group P-4m2 (No. 115)
One atom of each set of equivalent atoms:
Sr 0.000 0.500 0.250 (multiplicity 2)
Zn 0.000 0.000 0.500 (multiplicity 1)
Cu 0.000 0.500 0.871 (multiplicity 2)
Cu 0.500 0.500 0.500 (multiplicity 1)
Ge 0.000 0.000 0.000 (multiplicity 1)
Ge 0.000 0.500 0.635 (multiplicity 2)
Ge 0.500 0.500 0.000 (multiplicity 1)

=====

(5)
# SrZnCuGe2

A relaxed structure of SrZnCuGe2 (PBE, Alexandria).

## Properties
Crystal system ... tetragonal
Volume ... 19.781 Å³/atom
Energy ... -3.639 eV/atom
E_form ... -0.382 eV per atom

Cell: 4.311 4.311 10.644 Å, 90.00 90.00 90.00°
Space group I-4m2 (No. 119)
One atom of each set of equivalent atoms:
Sr 0.000 0.000 0.000 (multiplicity 2)
Zn 0.000 0.500 0.250 (multiplicity 2)
Cu 0.000 0.500 0.750 (multiplicity 2)
Ge 0.000 0.000 0.379 (multiplicity 4)

=====

(6)
# Sr2Zn4CuGe3

A relaxed structure of Sr2Zn4CuGe3 (PBE, Alexandria).

## Properties
Crystal system ... tetragonal
Volume ... 20.171 Å³/atom
Energy ... -2.975 eV/atom
E_form ... -0.334 eV per atom

Cell: 4.289 4.289 10.963 Å, 90.00 90.00 90.00°
Space group P-4m2 (No. 115)
One atom of each set of equivalent atoms:
Sr 0.000 0.500 0.250 (multiplicity 2)
Zn 0.000 0.000 0.000 (multiplicity 1)
Zn 0.000 0.500 0.629 (multiplicity 2)
Zn 0.500 0.500 0.000 (multiplicity 1)
Cu 0.000 0.000 0.500 (multiplicity 1)
Ge 0.000 0.500 0.863 (multiplicity 2)
Ge 0.500 0.500 0.500 (multiplicity 1)

=====

(7)
# Sr2ZnCu4Ge3

A relaxed structure of Sr2ZnCu4Ge3 (PBE, Alexandria).

## Properties
Crystal system ... tetragonal
Volume ... 18.869 Å³/atom
Energy ... -3.805 eV/atom
E_form ... -0.317 eV per atom

Cell: 4.325 4.325 10.088 Å, 90.00 90.00 90.00°
Space group P-4m2 (No. 115)
One atom of each set of equivalent atoms:
Sr 0.000 0.500 0.244 (multiplicity 2)
Zn 0.000 0.000 0.500 (multiplicity 1)
Cu 0.000 0.000 0.000 (multiplicity 1)
Cu 0.000 0.500 0.628 (multiplicity 2)
Cu 0.500 0.500 0.000 (multiplicity 1)
Ge 0.000 0.500 0.874 (multiplicity 2)
Ge 0.500 0.500 0.500 (multiplicity 1)

=====

(8)
# Ta2CuGe2

A relaxed structure of Ta2CuGe2 (PBE, Alexandria).

## Properties
Crystal system ... tetragonal
Excess energy over the best structure of this formula in the dataset ... 0.0000 eV/atom
Volume ... 16.176 Å³/atom
Energy ... -7.392 eV/atom
E_form ... 0.015 eV per atom

Cell: 6.676 6.676 3.630 Å, 90.00 90.00 90.00°
Space group P4/mbm (No. 127)
One atom of each set of equivalent atoms:
Ta 0.160 0.340 0.000 (multiplicity 4)
Cu 0.000 0.000 0.500 (multiplicity 2)
Ge 0.142 0.642 0.500 (multiplicity 4)

=====

(9)
# TaCu2Ge

A relaxed structure of TaCu2Ge (PBE, Alexandria).

## Properties
Crystal system ... tetragonal
Volume ... 14.353 Å³/atom
Energy ... -6.226 eV/atom
E_form ... -0.061 eV per atom

Cell: 3.776 3.776 4.027 Å, 90.00 90.00 90.00°
Space group P4/mmm (No. 123)
One atom of each set of equivalent atoms:
Ta 0.000 0.000 0.000 (multiplicity 1)
Cu 0.000 0.500 0.500 (multiplicity 2)
Ge 0.500 0.500 0.000 (multiplicity 1)

=====

(10)
# Ta2CuGe

A relaxed structure of Ta2CuGe (PBE, Alexandria).

## Properties
Crystal system ... tetragonal
Volume ... 17.039 Å³/atom
Energy ... -7.823 eV/atom
E_form ... 0.282 eV per atom

Cell: 7.003 7.003 5.559 Å, 90.00 90.00 90.00°
Space group I-42d (No. 122)
One atom of each set of equivalent atoms:
Ta 0.246 0.250 0.125 (multiplicity 8)
Cu 0.000 0.000 0.000 (multiplicity 4)
Ge 0.000 0.000 0.500 (multiplicity 4)

=====

(11)
# Ta2CuGe2

A relaxed structure of Ta2CuGe2 (PBE, Alexandria).

## Properties
Crystal system ... tetragonal
Excess energy over the best structure of this formula in the dataset ... 0.1044 eV/atom
Volume ... 17.205 Å³/atom
Energy ... -7.287 eV/atom
E_form ... 0.120 eV per atom

Cell: 6.941 6.941 3.571 Å, 90.00 90.00 90.00°
Space group P4/mbm (No. 127)
One atom of each set of equivalent atoms:
Ta 0.147 0.353 0.000 (multiplicity 4)
Cu 0.000 0.000 0.000 (multiplicity 2)
Ge 0.153 0.653 0.500 (multiplicity 4)

=====

(12)
# TaCuGe3

A relaxed structure of TaCuGe3 (PBE, Alexandria).

## Properties
Crystal system ... cubic
Excess energy over the best structure of this formula in the dataset ... 0.1387 eV/atom
Volume ... 19.374 Å³/atom
Energy ... -5.001 eV/atom
E_form ... 0.959 eV per atom

Cell: 4.593 4.593 4.593 Å, 90.00 90.00 90.00°
Space group Pm-3m (No. 221)
One atom of each set of equivalent atoms:
Ta 0.000 0.000 0.000 (multiplicity 1)
Cu 0.500 0.500 0.500 (multiplicity 1)
Ge 0.000 0.500 0.500 (multiplicity 3)